1.
First-principles (GGA-PBE) data for a relaxed structure of LiTeI2F, as listed in the Alexandria database.

calculated volume	157.47	Å³/cell
E above lowest polymorph	0	meV per atom
formation energy without anion corrections	-44.2	kJ per mole of atoms

a b c (Å): 6.093 6.093 4.242
angles (deg): 90.00 90.00 90.00
Space group P4/mmm (No. 123)
One atom of each set of equivalent atoms:
Li1 0.000 0.000 0.000 [1 per cell]
Te1 0.500 0.500 0.000 [1 per cell]
I1 0.000 0.500 0.500 [2 per cell]
F1 0.500 0.500 0.500 [1 per cell]



2.
First-principles (GGA-PBE) data for a relaxed structure of NbGeS2N, as listed in the Alexandria database.

calculated volume	81.57	Å³/cell
E above lowest polymorph	671	meV per atom
formation energy without anion corrections	63.3	kJ per mole of atoms

a b c (Å): 4.791 4.791 3.554
angles (deg): 90.00 90.00 90.00
Space group P4/mmm (No. 123)
One atom of each set of equivalent atoms:
Nb1 0.000 0.000 0.000 [1 per cell]
Ge1 0.500 0.500 0.500 [1 per cell]
S1 0.000 0.500 0.500 [2 per cell]
N1 0.500 0.500 0.000 [1 per cell]



3.
First-principles (GGA-PBE) data for a relaxed structure of TlNiTe2, as listed in the Alexandria database.

calculated volume	395.59	Å³/cell
formation energy without anion corrections	50.4	kJ per mole of atoms

a b c (Å): 7.341 7.341 7.341
angles (deg): 90.00 90.00 90.00
Space group F-43m (No. 216)
One atom of each set of equivalent atoms:
Tl1 0.000 0.000 0.000 [4 per cell]
Ni1 0.250 0.250 0.250 [4 per cell]
Te1 0.000 0.000 0.500 [4 per cell]
Te2 0.250 0.250 0.750 [4 per cell]



4.
First-principles (GGA-PBE) data for a relaxed structure of PrNdC4, as listed in the Alexandria database.

calculated volume	96.94	Å³/cell
ΔH_f (0 K)	-0.107	eV per atom

a b c (Å): 3.864 3.863 6.495
angles (deg): 90.00 90.18 90.00
Space group P2/m (No. 10)
One atom of each set of equivalent atoms:
Pr1 0.000 0.000 0.000 [1 per cell]
Nd1 0.500 0.500 0.500 [1 per cell]
C1 0.000 0.000 0.400 [2 per cell]
C2 0.500 0.500 0.100 [2 per cell]



Look up the calculated volume of the second one.
81.57 Å³/cell